# ZrHgIr2 | Alexandria | PBE | relaxed
data_ZrHgIr2
_cell_length_a 6.577
_cell_length_b 6.577
_cell_length_c 6.577
_cell_angle_alpha 90.00
_cell_angle_beta 90.00
_cell_angle_gamma 90.00
_symmetry_space_group_name_H-M 'F -4 3 m'
_symmetry_Int_Tables_number 216
_symmetry_space_group_name_Hall 'F -4 2 3'
loop_
_atom_site_label
_atom_site_type_symbol
_atom_site_fract_x
_atom_site_fract_y
_atom_site_fract_z
Zr1 Zr 0.000 0.000 0.000
Hg1 Hg 0.250 0.250 0.750
Ir1 Ir 0.000 0.000 0.500
Ir2 Ir 0.250 0.250 0.250
# Electronic total energy ... -6.59 eV per atom
# Density ... 15791 kg/m³
# Formation enthalpy at 0 K ... 0.054 eV per atom